Entry 1:
Compound: ReW2Br
Source: the Alexandria database
Functional: PBE
Structure: optimized geometry

Unit cell a=5.198 b=5.198 c=4.568 alpha=85.95 beta=85.95 gamma=33.61
Sites, in units of the cell vectors:
Re 0.278 0.278 0.208
Br 0.497 0.497 0.497
W 0.006 0.006 0.022
W 0.719 0.719 0.773

## Properties
Volume (A^3/atom): 17.03
Raw formation energy (meV/atom): 963.2
E (eV per atom): -9.04

---

Entry 2:
Compound: YRe2Br
Source: the Alexandria database
Functional: PBE
Structure: optimized geometry

Unit cell a=2.960 b=2.960 c=9.491 alpha=90.00 beta=90.00 gamma=115.74
Sites, in units of the cell vectors:
Y 0.500 0.500 0.250
Re 0.000 0.000 0.995
Re 0.000 0.000 0.505
Br 0.500 0.500 0.750

## Properties
Volume (A^3/atom): 18.73
Raw formation energy (meV/atom): 1073.2
E (eV per atom): -7.19

---

Entry 3:
Compound: YReBr
Source: the Alexandria database
Functional: PBE
Structure: optimized geometry

Unit cell a=7.062 b=7.062 c=7.062 alpha=153.34 beta=153.34 gamma=38.05
Last column: magnetic moment on the atom in μB.
Sites, in units of the cell vectors:
Y 0.671 0.671 0.000  -0.06
Re 0.313 0.313 0.000  1.65
Br 0.017 0.017 0.000  0.02

## Properties
Volume (A^3/atom): 23.59
Raw formation energy (meV/atom): 403.5
E (eV per atom): -6.46

---

Entry 4:
Compound: YReBr2
Source: the Alexandria database
Functional: PBE
Structure: optimized geometry

Unit cell a=9.488 b=9.488 c=9.488 alpha=20.02 beta=20.02 gamma=20.02
Last column: magnetic moment on the atom in μB.
Sites, in units of the cell vectors:
Y 0.500 0.500 0.500  -0.01
Re 0.000 0.000 0.000  0.16
Br 0.911 0.911 0.911  0.00
Br 0.089 0.089 0.089  0.00

## Properties
Volume (A^3/atom): 21.89
Raw formation energy (meV/atom): 227.6
E (eV per atom): -5.34